VASP calculation (PBE) on crystalline K2TePb at its relaxed geometry.

Its size of the total moment is 0.00 Bohr magnetons per cell. As for the energy above the most stable polymorph in this dataset: 0.197 eV/atom. The density of states at the Fermi level is 3.227 states/eV/f.u. For the volume, the calculation gives 37.003 A^3/atom. The total energy is -10.187 eV per cell. As for the symmetry: F-43m, No. 216. The crystal system is cubic.

```
K2TePb
1.0
0.000 4.198 4.198
4.198 0.000 4.198
4.198 4.198 0.000
K Te Pb
2 1 1
Direct
0.000 0.000 0.000 K
0.250 0.250 0.250 K
0.750 0.750 0.750 Te
0.500 0.500 0.500 Pb
```